DFT (PBE-GGA) results for crystalline Al2ZnI at its relaxed geometry.

Computed properties:
ΔE_f (raw) (eV per atom): 0.5082
ΔE to the lowest computed polymorph (meV per atom): 171.4
Magnetic moment (μB per cell): 0.0

```
Al2ZnI
1.0
0.000 3.641 3.641
3.641 0.000 3.641
3.641 3.641 0.000
Al Zn I
2 1 1
Direct
0.250 0.250 0.250
0.750 0.750 0.750
0.000 0.000 0.000
0.500 0.500 0.500
```